Here is a relaxed Rb2Ba crystal from the Alexandria database. Energies are from PBE.

## Properties
- total magnetization (μB/cell) = 0.0
- ΔE_f (eV per atom) = 0.10

Cell: 4.5083 4.5083 11.9162 Å, 100.90 100.90 90.00°
With the nearest neighbours (Å) after each atom.
Positions (direct):
Ba: 0.0000 0.0000 0.0000  4 Ba 4.51, 8 Rb 4.89
Rb: 0.6612 0.6612 0.3224  4 Rb 4.51, 4 Ba 4.89
Rb: 0.3388 0.3388 0.6776  4 Rb 4.51, 4 Ba 4.89

Here is a relaxed Rb5Ba crystal from the Alexandria database. Energies are from PBE.

## Properties
- total magnetization (μB/cell) = 0.0
- ΔE_f (eV per atom) = 0.08

Cell: 5.0600 8.1125 12.8752 Å, 108.36 90.00 90.00°
With the nearest neighbours (Å) after each atom.
Positions (direct):
Ba: 0.0000 0.0000 0.0000  8 Rb 4.78-4.80, 2 Ba 5.06
Rb: 0.0000 0.6600 0.3199  10 Rb 4.66-5.06
Rb: 0.0000 0.3400 0.6801  10 Rb 4.66-5.06
Rb: 0.5000 0.5000 0.0000  6 Rb 4.66-5.06, 4 Ba 4.78
Rb: 0.5000 0.1668 0.3335  8 Rb 4.78-5.06, 2 Ba 4.80
Rb: 0.5000 0.8332 0.6665  8 Rb 4.78-5.06, 2 Ba 4.80

Here is a relaxed Rb3Ba2 crystal from the Alexandria database. Energies are from PBE.

## Properties
- total magnetization (μB/cell) = 0.0
- E above lowest polymorph (meV per atom) = 0.0
- ΔE_f (eV per atom) = 0.06

Cell: 4.6816 4.6816 20.4365 Å, 83.42 83.42 60.00°
With the nearest neighbours (Å) after each atom.
Positions (direct):
Rb: 0.0960 0.0960 0.7120  9 Rb 4.68-5.07, 3 Ba 4.85
Rb: 0.5000 0.5000 0.5000  12 Rb 4.68-5.07
Rb: 0.9040 0.9040 0.2880  9 Rb 4.68-5.07, 3 Ba 4.85
Ba: 0.3036 0.3036 0.0891  9 Ba 4.51-4.68, 3 Rb 4.85
Ba: 0.6964 0.6964 0.9109  9 Ba 4.51-4.68, 3 Rb 4.85

Here is a relaxed Rb3Ba crystal from the Alexandria database. Energies are from PBE.

## Properties
- total magnetization (μB/cell) = 0.0
- ΔE_f (eV per atom) = 0.14

Cell: 8.6537 8.6537 8.6537 Å, 134.14 134.14 66.86°
With the nearest neighbours (Å) after each atom.
Positions (direct):
Ba: 0.0000 0.0000 0.0000  12 Rb 4.77-4.94
Rb: 0.7500 0.2500 0.5000  8 Rb 4.77-4.94, 4 Ba 4.94
Rb: 0.2500 0.7500 0.5000  8 Rb 4.77-4.94, 4 Ba 4.94
Rb: 0.5000 0.5000 0.0000  4 Ba 4.77, 8 Rb 4.94

Here is a relaxed RbBa5 crystal from the Alexandria database. Energies are from PBE.

## Properties
- total magnetization (μB/cell) = 0.0
- E above lowest polymorph (meV per atom) = 0.0
- ΔE_f (eV per atom) = 0.06

Cell: 4.4613 4.4613 20.3964 Å, 90.00 90.00 90.00°
With the nearest neighbours (Å) after each atom.
Positions (direct):
Rb: 0.5000 0.5000 0.0000  4 Rb 4.46, 8 Ba 4.88
Ba: 0.0000 0.0000 0.8172  8 Ba 4.46-4.53, 4 Rb 4.88
Ba: 0.0000 0.0000 0.1828  8 Ba 4.46-4.53, 4 Rb 4.88
Ba: 0.5000 0.5000 0.6575  12 Ba 4.46-4.53
Ba: 0.5000 0.5000 0.3425  12 Ba 4.46-4.53
Ba: 0.0000 0.0000 0.5000  12 Ba 4.46-4.50

Here is a relaxed Rb3Ba2 crystal from the Alexandria database. Energies are from PBE.

## Properties
- total magnetization (μB/cell) = 3.5
- E above lowest polymorph (meV per atom) = 200.8
- ΔE_f (eV per atom) = 0.26

Cell: 13.3654 13.3654 9.3681 Å, 44.49 44.49 60.00°
With the nearest neighbours (Å) after each atom.
Positions (direct):
Ba: 0.8752 0.8752 0.3744  2 Ba 3.98-3.99
Ba: 0.3752 0.3752 0.8744  2 Ba 3.98-3.99
Ba: 0.1248 0.1248 0.6256  2 Ba 3.98-3.99
Ba: 0.6248 0.6248 0.1256  2 Ba 3.98-3.99
Rb: 0.0769 0.7500 0.7500  4 Ba 4.55-4.80
Rb: 0.7500 0.4231 0.7500  4 Ba 4.55-4.80
Rb: 0.4231 0.0769 0.7500  4 Ba 4.55-4.80
Rb: 0.2500 0.5769 0.2500  4 Ba 4.55-4.80
Rb: 0.5769 0.9231 0.2500  4 Ba 4.55-4.80
Rb: 0.9231 0.2500 0.2500  4 Ba 4.55-4.80

Here is a relaxed RbBa5 crystal from the Alexandria database. Energies are from PBE.

## Properties
- total magnetization (μB/cell) = 0.0
- E above lowest polymorph (meV per atom) = 16.4
- ΔE_f (eV per atom) = 0.07

Cell: 4.9921 7.2869 11.5449 Å, 108.40 90.00 90.00°
With the nearest neighbours (Å) after each atom.
Positions (direct):
Ba: 0.0000 0.6687 0.3375  8 Ba 4.32-4.46
Ba: 0.0000 0.3313 0.6625  8 Ba 4.32-4.46
Ba: 0.5000 0.5000 0.0000  4 Rb 4.42, 4 Ba 4.46
Ba: 0.5000 0.1702 0.3405  6 Ba 4.32-4.42, 2 Rb 4.49
Ba: 0.5000 0.8298 0.6595  6 Ba 4.32-4.42, 2 Rb 4.49
Rb: 0.0000 0.0000 0.0000  8 Ba 4.42-4.49

Here is a relaxed Rb2Ba crystal from the Alexandria database. Energies are from PBE.

## Properties
- total magnetization (μB/cell) = 0.0
- ΔE_f (eV per atom) = 0.16

Cell: 8.6838 8.6838 8.6838 Å, 60.00 60.00 60.00°
With the nearest neighbours (Å) after each atom.
Positions (direct):
Ba: 0.0000 0.0000 0.0000  12 Rb 5.09, 4 Ba 5.32
Ba: 0.2500 0.2500 0.2500  12 Rb 5.09, 4 Ba 5.32
Rb: 0.1250 0.6250 0.6250  6 Rb 4.34
Rb: 0.6250 0.1250 0.6250  6 Rb 4.34
Rb: 0.6250 0.6250 0.6250  6 Rb 4.34
Rb: 0.6250 0.6250 0.1250  6 Rb 4.34